No. 1
VASP calculation (PBE) on a relaxed NbCdW2 crystal.

Geometry as POSCAR:
```
NbCdW2
1.0
9.831 -1.628 0.000
9.831 1.628 0.000
-1.043 0.000 4.408
Nb Cd W
2 2 4
Direct
0.000 0.000 0.000
0.624 0.624 0.124
0.257 0.257 0.255
0.749 0.749 0.747
0.117 0.117 0.617
0.383 0.383 0.884
0.502 0.502 0.502
0.885 0.885 0.384
```

Properties
* symmetry: Cm, No. 8



No. 2
VASP calculation (PBE) on a relaxed NbCdW2 crystal.

Geometry as POSCAR:
```
NbCdW2
1.0
5.485 0.000 0.000
0.000 4.541 0.000
-1.060 0.000 5.660
Nb Cd W
2 2 4
Direct
0.000 0.000 0.000
0.255 0.500 0.350
0.001 0.000 0.500
0.755 0.500 0.624
0.271 0.500 0.878
0.493 0.000 0.779
0.495 0.000 0.251
0.740 0.500 0.117
```

Properties
* symmetry: Pm, No. 6



No. 3
VASP calculation (PBE) on a relaxed NbCd3W crystal.

Geometry as POSCAR:
```
NbCd3W
1.0
5.117 0.000 0.000
0.000 5.117 0.000
0.000 0.000 5.117
Nb Cd W
1 3 1
Direct
0.000 0.000 0.000
0.000 0.500 0.500
0.500 0.000 0.500
0.500 0.500 0.000
0.500 0.500 0.500
```

Properties
* distance to the lowest polymorph of the same formula: 0.0000 eV per atom
* symmetry: Pm-3m, No. 221



No. 4
VASP calculation (PBE) on a relaxed YNbCd3 crystal.

Geometry as POSCAR:
```
YNbCd3
1.0
5.264 0.000 0.000
0.000 5.264 0.000
0.000 0.000 5.264
Y Nb Cd
1 1 3
Direct
0.000 0.000 0.000
0.500 0.500 0.500
0.000 0.500 0.500
0.500 0.000 0.500
0.500 0.500 0.000
```

Properties
* symmetry: Pm-3m, No. 221



No. 5
VASP calculation (PBE) on a relaxed Y3NbCd crystal.

Geometry as POSCAR:
```
Y3NbCd
1.0
5.432 0.000 0.000
0.000 5.432 0.000
0.000 0.000 5.432
Y Nb Cd
3 1 1
Direct
0.000 0.000 0.500
0.000 0.500 0.000
0.500 0.000 0.000
0.000 0.000 0.000
0.500 0.500 0.500
```

Properties
* distance to the lowest polymorph of the same formula: 0.0000 eV per atom
* symmetry: Pm-3m, No. 221



No. 6
VASP calculation (PBE) on a relaxed YNbCd2 crystal.

Geometry as POSCAR:
```
YNbCd2
1.0
0.000 3.551 3.551
3.551 0.000 3.551
3.551 3.551 0.000
Y Nb Cd
1 1 2
Direct
0.000 0.000 0.000
0.500 0.500 0.500
0.250 0.250 0.250
0.750 0.750 0.750
```

Properties
* distance to the lowest polymorph of the same formula: 0.0000 eV per atom
* symmetry: Fm-3m, No. 225



Formation energy (computed, eV/atom): 0.23, 0.33, 1.88, 0.72, 0.51, 0.13